Entry 1:
Compound: Tm2BeNi6Ge
Source: the Alexandria database
Functional: PBE
Structure: optimized geometry

Values from the calculation:
Calculated volume (Å³ per cell): 596.9

Unit cell a=8.420 b=8.420 c=8.420 alpha=90.00 beta=90.00 gamma=90.00
Space group Fm-3m (No. 225)
One atom of each set of equivalent atoms:
Tm 0.250 0.250 0.250 x8
Be 0.000 0.000 0.000 x4
Ni 0.000 0.000 0.234 x24
Ge 0.000 0.000 0.500 x4

Entry 2:
Compound: Tm2BeNi4Ge3
Source: the Alexandria database
Functional: PBE
Structure: optimized geometry

Values from the calculation:
Calculated volume (Å³ per cell): 151.5

Unit cell a=3.952 b=3.952 c=9.699 alpha=90.00 beta=90.00 gamma=90.00
Space group P-4m2 (No. 115)
One atom of each set of equivalent atoms:
Tm 0.000 0.500 0.241 x2
Be 0.500 0.500 0.000 x1
Ni 0.000 0.000 0.500 x1
Ni 0.000 0.500 0.876 x2
Ni 0.500 0.500 0.500 x1
Ge 0.000 0.000 0.000 x1
Ge 0.000 0.500 0.637 x2

Entry 3:
Compound: Tm2BeNi3Ge4
Source: the Alexandria database
Functional: PBE
Structure: optimized geometry

Values from the calculation:
Calculated volume (Å³ per cell): 156.9

Unit cell a=3.955 b=3.955 c=10.026 alpha=90.00 beta=90.00 gamma=90.00
Space group P-4m2 (No. 115)
One atom of each set of equivalent atoms:
Tm 0.000 0.500 0.245 x2
Be 0.500 0.500 0.000 x1
Ni 0.000 0.000 0.000 x1
Ni 0.000 0.500 0.634 x2
Ge 0.000 0.000 0.500 x1
Ge 0.000 0.500 0.867 x2
Ge 0.500 0.500 0.500 x1

Entry 4:
Compound: U2BeNi4Ge3
Source: the Alexandria database
Functional: PBE
Structure: optimized geometry

Values from the calculation:
Calculated volume (Å³ per cell): 152.5

Unit cell a=3.957 b=3.957 c=9.742 alpha=90.00 beta=90.00 gamma=90.00
Space group P-4m2 (No. 115)
One atom of each set of equivalent atoms:
U 0.000 0.500 0.243 x2
Be 0.500 0.500 0.000 x1
Ni 0.000 0.000 0.500 x1
Ni 0.000 0.500 0.874 x2
Ni 0.500 0.500 0.500 x1
Ge 0.000 0.000 0.000 x1
Ge 0.000 0.500 0.635 x2

Entry 5:
Compound: Y2Be3NiGe4
Source: the Alexandria database
Functional: PBE
Structure: optimized geometry

Values from the calculation:
Calculated volume (Å³ per cell): 157.2

Unit cell a=4.009 b=4.009 c=9.780 alpha=90.00 beta=90.00 gamma=90.00
Space group P-4m2 (No. 115)
One atom of each set of equivalent atoms:
Y 0.000 0.500 0.243 x2
Be 0.000 0.000 0.000 x1
Be 0.000 0.500 0.635 x2
Ni 0.500 0.500 0.000 x1
Ge 0.000 0.000 0.500 x1
Ge 0.000 0.500 0.866 x2
Ge 0.500 0.500 0.500 x1

Entry 6:
Compound: Y2BeNi3Ge4
Source: the Alexandria database
Functional: PBE
Structure: optimized geometry

Values from the calculation:
Calculated volume (Å³ per cell): 160.2

Unit cell a=4.049 b=4.049 c=9.774 alpha=90.00 beta=90.00 gamma=90.00
Space group P-4m2 (No. 115)
One atom of each set of equivalent atoms:
Y 0.000 0.500 0.247 x2
Be 0.500 0.500 0.000 x1
Ni 0.000 0.000 0.000 x1
Ni 0.000 0.500 0.628 x2
Ge 0.000 0.000 0.500 x1
Ge 0.000 0.500 0.869 x2
Ge 0.500 0.500 0.500 x1

Entry 7:
Compound: Y2BeNi6Ge
Source: the Alexandria database
Functional: PBE
Structure: optimized geometry

Values from the calculation:
Calculated volume (Å³ per cell): 610.8

Unit cell a=8.485 b=8.485 c=8.485 alpha=90.00 beta=90.00 gamma=90.00
Space group Fm-3m (No. 225)
One atom of each set of equivalent atoms:
Y 0.250 0.250 0.250 x8
Be 0.000 0.000 0.000 x4
Ni 0.000 0.000 0.234 x24
Ge 0.000 0.000 0.500 x4

Entry 8:
Compound: Y2BeNi4Ge3
Source: the Alexandria database
Functional: PBE
Structure: optimized geometry

Values from the calculation:
Calculated volume (Å³ per cell): 154.9

Unit cell a=4.005 b=4.005 c=9.656 alpha=90.00 beta=90.00 gamma=90.00
Space group P-4m2 (No. 115)
One atom of each set of equivalent atoms:
Y 0.000 0.500 0.243 x2
Be 0.500 0.500 0.000 x1
Ni 0.000 0.000 0.500 x1
Ni 0.000 0.500 0.878 x2
Ni 0.500 0.500 0.500 x1
Ge 0.000 0.000 0.000 x1
Ge 0.000 0.500 0.636 x2

Entry 9:
Compound: Be2ZnNiGe
Source: the Alexandria database
Functional: PBE
Structure: optimized geometry

Values from the calculation:
Calculated volume (Å³ per cell): 75.2

Unit cell a=4.106 b=4.106 c=4.459 alpha=90.00 beta=90.00 gamma=90.00
Space group P4/mmm (No. 123)
One atom of each set of equivalent atoms:
Be 0.000 0.500 0.000 x2
Zn 0.000 0.000 0.000 x1
Ni 0.000 0.000 0.500 x1
Ge 0.500 0.500 0.500 x1

Entry 10:
Compound: Be2Zn2Ni5Ge
Source: the Alexandria database
Functional: PBE
Structure: optimized geometry

Values from the calculation:
Calculated volume (Å³ per cell): 225.4

Unit cell a=8.423 b=8.423 c=3.177 alpha=90.00 beta=90.00 gamma=90.00
Space group P4/mbm (No. 127)
One atom of each set of equivalent atoms:
Be 0.122 0.378 0.000 x4
Zn 0.172 0.672 0.000 x4
Ni 0.000 0.500 0.500 x2
Ni 0.078 0.205 0.500 x8
Ge 0.000 0.000 0.000 x2

Entry 11:
Compound: BeZn2Ni5Ge2
Source: the Alexandria database
Functional: PBE
Structure: optimized geometry

Values from the calculation:
Calculated volume (Å³ per cell): 247.8

Unit cell a=9.590 b=9.590 c=2.695 alpha=90.00 beta=90.00 gamma=90.00
Space group P4/mbm (No. 127)
One atom of each set of equivalent atoms:
Be 0.000 0.000 0.000 x2
Zn 0.162 0.338 0.000 x4
Ni 0.000 0.500 0.500 x2
Ni 0.016 0.809 0.500 x8
Ge 0.150 0.650 0.000 x4

Entry 12:
Compound: ZrBeNi4Ge2
Source: the Alexandria database
Functional: PBE
Structure: optimized geometry

Values from the calculation:
Calculated volume (Å³ per cell): 307.9

Unit cell a=3.9691 b=3.9691 c=22.5711 alpha=90.00 beta=90.00 gamma=120.00
Space group R-3m (No. 166, hexagonal axes)
One atom of each set of equivalent atoms:
Zr 0.0000 0.0000 0.0000 x3
Be 0.0000 0.0000 0.5000 x3
Ni 0.0000 0.0000 0.1356 x6
Ni 0.0000 0.0000 0.4040 x6
Ge 0.0000 0.0000 0.2466 x6

Calculated ΔH_f (0 K), -0.199, -0.623, -0.606, -0.354, -0.448, -0.632, -0.192, -0.636, 0.779, -0.245, -0.122, -0.437 eV per atom (same order as the records).